# 1
{"formula": "AcSc2Pb", "functional": "PBE", "state": "optimized geometry", "cell": [[-0.5770, 0.9636, 5.2504], [-1.8650, -3.8483, 3.2466], [3.2832, -2.3521, 3.5378]], "species": ["Pb", "Sc", "Sc", "Ac"], "fractional_positions": [[0.5000, 0.5000, 0.5000], [0.2500, 0.2500, 0.2500], [0.7500, 0.7500, 0.7500], [0.0000, 0.0000, 0.0000]], "relative_energy_ev_per_atom": 0.108, "m_tot_mub_per_fu": 0.027}

# 2
{"formula": "AcScPb2", "functional": "PBE", "state": "optimized geometry", "cell": [[-2.9167, -0.7671, 2.1263], [-2.7021, -4.6921, -5.3993], [5.8534, -6.3075, 2.5520]], "species": ["Ac", "Ac", "Sc", "Sc", "Pb", "Pb", "Pb", "Pb"], "fractional_positions": [[0.9821, 0.7500, 0.9642], [0.0179, 0.2500, 0.0358], [0.2413, 0.7500, 0.4826], [0.7587, 0.2500, 0.5174], [0.6347, 0.9716, 0.2694], [0.3653, 0.4716, 0.7306], [0.6347, 0.5284, 0.2694], [0.3653, 0.0284, 0.7306]], "m_tot_mub_per_fu": 0.000, "energy_ev_per_fu": -19.236}

# 3
{"formula": "Ac6ScPb10", "functional": "PBE", "state": "optimized geometry", "cell": [[6.8204, 0.0000, 0.0000], [0.0000, 8.6449, -4.9911], [0.0000, 0.0000, 9.9822]], "species": ["Ac", "Ac", "Ac", "Ac", "Ac", "Ac", "Sc", "Pb", "Pb", "Pb", "Pb", "Pb", "Pb", "Pb", "Pb", "Pb", "Pb"], "fractional_positions": [[0.7423, 0.3910, 0.3910], [0.7423, 0.0000, 0.6090], [0.7423, 0.6090, 0.0000], [0.2577, 0.6090, 0.6090], [0.2577, 0.0000, 0.3910], [0.2577, 0.3910, 0.0000], [0.5000, 0.0000, 0.0000], [0.8037, 0.7767, 0.7767], [0.8037, 0.0000, 0.2233], [0.8037, 0.2233, 0.0000], [0.1963, 0.2233, 0.2233], [0.1963, 0.0000, 0.7767], [0.1963, 0.7767, 0.0000], [0.5000, 0.3333, 0.6667], [0.5000, 0.6667, 0.3333], [0.0000, 0.6667, 0.3333], [0.0000, 0.3333, 0.6667]], "m_tot_mub_per_fu": 0.000, "energy_ev_per_fu": -74.803}

# 4
{"formula": "Ac2ScPb3", "functional": "PBE", "state": "optimized geometry", "cell": [[5.2503, 0.0000, 0.0000], [0.0000, 6.6587, 0.0000], [-2.6252, -3.3294, 6.0587]], "species": ["Ac", "Ac", "Sc", "Pb", "Pb", "Pb"], "fractional_positions": [[0.6820, 0.1820, 0.3640], [0.3180, 0.8180, 0.6360], [0.0000, 0.5000, 0.0000], [0.3698, 0.3698, 0.7397], [0.0000, 0.0000, 0.0000], [0.6302, 0.6302, 0.2603]], "m_tot_mub_per_fu": 0.000, "energy_ev_per_fu": -27.776}

# 5
{"formula": "AcSc2Pb", "functional": "PBE", "state": "optimized geometry", "cell": [[-2.7903, 1.2585, -2.2604], [-0.5120, -3.5274, -1.3320], [-5.2646, -1.3963, 5.7214]], "species": ["Pb", "Sc", "Sc", "Ac"], "fractional_positions": [[0.5000, 0.5000, 0.0000], [0.0000, 0.0000, 0.7941], [0.0000, 0.0000, 0.2059], [0.5000, 0.5000, 0.5000]], "relative_energy_ev_per_atom": 0.012, "m_tot_mub_per_fu": 0.000}

# 6
{"formula": "AcScPb", "functional": "PBE", "state": "optimized geometry", "cell": [[8.9010, 0.0000, 0.0000], [0.0000, 10.1362, 0.0000], [0.0000, -5.0681, 4.8581]], "species": ["Ac", "Ac", "Ac", "Ac", "Sc", "Sc", "Sc", "Sc", "Pb", "Pb", "Pb", "Pb"], "fractional_positions": [[0.0000, 0.8144, 0.6287], [0.0000, 0.1856, 0.3713], [0.5000, 0.3144, 0.6287], [0.5000, 0.6856, 0.3713], [0.8418, 0.5909, 0.0000], [0.3418, 0.9091, 0.0000], [0.1582, 0.4091, 0.0000], [0.6582, 0.0909, 0.0000], [0.6484, 0.8104, 0.0000], [0.8516, 0.3104, 0.0000], [0.1484, 0.6896, 0.0000], [0.3516, 0.1896, 0.0000]], "relative_energy_ev_per_atom": 0.377, "m_tot_mub_per_fu": 0.000}

# 7
{"formula": "Ac4ScPb5", "functional": "PBE", "state": "optimized geometry", "cell": [[3.8645, 0.0000, 0.0000], [0.0000, 3.8645, 0.0000], [0.0000, 0.0000, 22.2100]], "species": ["Ac", "Ac", "Ac", "Ac", "Sc", "Pb", "Pb", "Pb", "Pb", "Pb"], "fractional_positions": [[0.0000, 0.0000, 0.1816], [0.0000, 0.0000, 0.3937], [0.0000, 0.0000, 0.6063], [0.0000, 0.0000, 0.8184], [0.0000, 0.0000, 0.0000], [0.5000, 0.5000, 0.0769], [0.5000, 0.5000, 0.2875], [0.5000, 0.5000, 0.5000], [0.5000, 0.5000, 0.7125], [0.5000, 0.5000, 0.9231]], "m_tot_mub_per_fu": 0.000, "energy_ev_per_fu": -45.693}

# 8
{"formula": "Ac3ScPb5", "functional": "PBE", "state": "optimized geometry", "cell": [[-2.9186, -6.0316, -1.0132], [6.8487, -4.3108, 5.9343], [-8.5566, 3.4820, 3.9196]], "species": ["Ac", "Ac", "Ac", "Ac", "Ac", "Ac", "Sc", "Sc", "Pb", "Pb", "Pb", "Pb", "Pb", "Pb", "Pb", "Pb", "Pb", "Pb"], "fractional_positions": [[0.7500, 0.3848, 0.0000], [0.7500, 0.6152, 0.6152], [0.7500, 0.0000, 0.3848], [0.2500, 0.6152, 0.0000], [0.2500, 0.3848, 0.3848], [0.2500, 0.0000, 0.6152], [0.0000, 0.0000, 0.0000], [0.5000, 0.0000, 0.0000], [0.0000, 0.3333, 0.6667], [0.5000, 0.6667, 0.3333], [0.0000, 0.6667, 0.3333], [0.5000, 0.3333, 0.6667], [0.7500, 0.7362, 0.0000], [0.7500, 0.2638, 0.2638], [0.7500, 0.0000, 0.7362], [0.2500, 0.2638, 0.0000], [0.2500, 0.7362, 0.7362], [0.2500, 0.0000, 0.2638]], "m_tot_mub_per_fu": 0.000, "energy_ev_per_fu": -41.474}

Please write out number 5 again, unchanged.
{"formula": "AcSc2Pb", "functional": "PBE", "state": "optimized geometry", "cell": [[-2.7903, 1.2585, -2.2604], [-0.5120, -3.5274, -1.3320], [-5.2646, -1.3963, 5.7214]], "species": ["Pb", "Sc", "Sc", "Ac"], "fractional_positions": [[0.5000, 0.5000, 0.0000], [0.0000, 0.0000, 0.7941], [0.0000, 0.0000, 0.2059], [0.5000, 0.5000, 0.5000]], "relative_energy_ev_per_atom": 0.012, "m_tot_mub_per_fu": 0.000}

Question: Which formula does entry 6 have?
Answer: AcScPb

Question: Which formula does entry 4 have?
Answer: Ac2ScPb3